Entry 1:
A relaxed structure of VOsPb2O6, computed with PBE with a Hubbard U.

a b c (Å): 5.672 5.697 7.933
angles (deg): 90.00 90.00 90.00
Last column: magnetic moment on the atom in μB.
Atoms (fractional coordinates):
V (0.000, 0.750, 0.500)  1.73
O (0.755, 0.503, 0.000)  -0.10
O (0.500, 0.250, 0.251)  -0.11
O (0.000, 0.750, 0.751)  -0.11
O (0.245, 0.503, 0.000)  -0.10
Pb (0.500, 0.750, 0.747)  -0.02
Pb (0.000, 0.250, 0.753)  -0.02
V (0.500, 0.250, 0.000)  1.73
O (0.745, 0.497, 0.500)  -0.10
O (0.255, 0.497, 0.500)  -0.10
Os (0.000, 0.750, 0.000)  -1.63
Os (0.500, 0.250, 0.500)  -1.63
O (0.255, 0.003, 0.500)  -0.10
O (0.245, 0.997, 0.000)  -0.10
O (0.000, 0.750, 0.249)  -0.11
O (0.755, 0.997, 0.000)  -0.10
O (0.745, 0.003, 0.500)  -0.10
Pb (0.000, 0.250, 0.247)  -0.02
O (0.500, 0.250, 0.749)  -0.11
Pb (0.500, 0.750, 0.253)  -0.02

Entry 2:
A relaxed structure of VOsPbO6, computed with PBE with a Hubbard U.

a b c (Å): 7.019 7.196 7.245
angles (deg): 119.78 118.97 90.00
Last column: magnetic moment on the atom in μB.
Atoms (fractional coordinates):
O (0.180, 0.322, 0.766)  0.09
Pb (0.973, 0.723, 0.946)  0.04
O (0.414, 0.678, 0.234)  0.09
V (0.500, 0.000, 0.500)  1.06
O (0.586, 0.944, 0.766)  0.09
O (0.180, 0.944, 0.766)  0.09
Pb (0.027, 0.277, 0.054)  0.04
O (0.586, 0.322, 0.766)  0.09
O (0.820, 0.056, 0.234)  0.09
Os (0.500, 0.000, 0.000)  1.04
O (0.190, 0.940, 0.379)  -0.03
O (0.439, 0.689, 0.879)  0.04
O (0.414, 0.056, 0.234)  0.09
V (0.000, 0.000, 0.500)  1.06
O (0.810, 0.060, 0.621)  -0.03
O (0.820, 0.678, 0.234)  0.09
O (0.561, 0.311, 0.121)  0.04
Os (0.500, 0.500, 0.000)  1.04

Entry 3:
A relaxed structure of VOsPb2O8, computed with PBE with a Hubbard U.

a b c (Å): 5.245 5.218 6.321
angles (deg): 90.00 90.00 90.36
Atoms (fractional coordinates):
O (0.752, 0.759, 0.500)
O (0.162, 0.830, 0.247)
O (0.162, 0.830, 0.753)
O (0.838, 0.170, 0.247)
O (0.838, 0.170, 0.753)
Pb (0.500, 0.500, 0.255)
O (0.749, 0.757, 0.000)
Pb (0.500, 0.500, 0.745)
Os (0.000, 0.000, 0.000)
O (0.251, 0.243, 0.000)
V (0.000, 0.000, 0.500)
O (0.248, 0.241, 0.500)

Number 1: DOS at the Fermi energy 0.25 states/eV per atom, uncorrected energy -137.24 eV for the cell shown, calculated volume 12.82 A^3/atom. Number 2: DOS at the Fermi energy 0.40 states/eV per atom, uncorrected energy -126.60 eV for the cell shown, calculated volume 14.64 A^3/atom. Number 3: DOS at the Fermi energy 0.32 states/eV per atom, uncorrected energy -79.00 eV for the cell shown, calculated volume 14.42 A^3/atom.